ThInPd3 | PBE | optimized geometry

Properties
The total magnetic moment is 0.00 μB per formula unit. Its space group is Pnma. The calculation puts the calculated formation energy at -0.590 eV/atom. The total energy is -5.7371 eV/atom.

Unit cell a=5.660 b=8.020 c=9.088 alpha=90.00 beta=90.00 gamma=90.00
Fractional positions:
Th (0.001, 0.250, 0.006)
Th (0.499, 0.750, 0.506)
Th (0.501, 0.250, 0.494)
Th (0.999, 0.750, 0.994)
In (0.000, 0.000, 0.500)
In (0.000, 0.500, 0.500)
In (0.500, 0.000, 0.000)
In (0.500, 0.500, 0.000)
Pd (0.006, 0.750, 0.299)
Pd (0.244, 0.563, 0.752)
Pd (0.244, 0.937, 0.752)
Pd (0.256, 0.063, 0.252)
Pd (0.256, 0.437, 0.252)
Pd (0.494, 0.250, 0.799)
Pd (0.506, 0.750, 0.201)
Pd (0.744, 0.563, 0.748)
Pd (0.744, 0.937, 0.748)
Pd (0.756, 0.063, 0.248)
Pd (0.756, 0.437, 0.248)
Pd (0.994, 0.250, 0.701)

Th2In8Pd | PBE | optimized geometry

Properties
The total magnetic moment is 0.00 μB per formula unit. Its space group is P4/mmm. The calculation puts the calculated formation energy at -0.371 eV/atom. The total energy is -4.1838 eV/atom.

Unit cell a=4.769 b=4.769 c=12.305 alpha=90.00 beta=90.00 gamma=90.00
Fractional positions:
Th (0.000, 0.000, 0.191)
Th (0.000, 0.000, 0.809)
In (0.000, 0.500, 0.000)
In (0.000, 0.500, 0.376)
In (0.000, 0.500, 0.624)
In (0.500, 0.000, 0.000)
In (0.500, 0.000, 0.376)
In (0.500, 0.000, 0.624)
In (0.500, 0.500, 0.193)
In (0.500, 0.500, 0.807)
Pd (0.000, 0.000, 0.500)

ThTlInPd | PBE | optimized geometry

Properties
The total magnetic moment is 0.00 μB per formula unit. Its space group is F-43m. The calculation puts the calculated formation energy at -0.336 eV/atom. The total energy is -4.7654 eV/atom.

Unit cell a=5.151 b=5.151 c=5.151 alpha=60.00 beta=60.00 gamma=60.00
Fractional positions:
Th (0.000, 0.000, 0.000)
Tl (0.750, 0.750, 0.750)
In (0.500, 0.500, 0.500)
Pd (0.250, 0.250, 0.250)

TmThInPd | PBE | optimized geometry

Properties
The total magnetic moment is 0.00 μB per formula unit. Its space group is F-43m. The calculation puts the calculated formation energy at -0.446 eV/atom. The total energy is -5.4018 eV/atom.

Unit cell a=5.232 b=5.232 c=5.232 alpha=60.00 beta=60.00 gamma=60.00
Fractional positions:
Tm (0.000, 0.000, 0.000)
Th (0.500, 0.500, 0.500)
In (0.250, 0.250, 0.250)
Pd (0.750, 0.750, 0.750)